[1]
Compound: Rb3Sm3WO8
Source: the Alexandria database
Functional: PBE+U
Structure: relaxed

Results
- spin magnetization (μB/cell) = 2.000
- electronic total energy (eV per cell) = -101.4
- space group = C2/m, No. 12
- DOS at the Fermi energy (states/eV per atom) = 0.000

Cell: 7.0534 7.0182 7.7633 Å, 116.82 90.00 120.17°
Closest atoms and distances in Å follow each position.
Fractional coordinates of all 15 atoms:
Sm 0.5000 0.5000 0.5000  6 O 2.34-2.40
Sm 0.0000 0.5000 0.5000  6 O 2.34-2.40
Sm 0.5000 0.0000 0.5000  6 O 2.34-2.38
O 0.2512 0.0423 0.3353  1 W 2.16, 2 Sm 2.38
O 0.7263 0.4525 0.6762  3 Sm 2.34
O 0.7488 0.9577 0.6647  1 W 2.16, 2 Sm 2.38
O 0.2090 0.9577 0.6647  1 W 2.16, 2 Sm 2.38
O 0.2047 0.4094 0.6644  1 W 2.12
O 0.7953 0.5906 0.3356  1 W 2.12
O 0.7910 0.0423 0.3353  1 W 2.16, 2 Sm 2.38
O 0.2737 0.5475 0.3238  3 Sm 2.34
Rb 0.0000 0.5000 0.0000  6 O 2.95-2.96
Rb 0.0000 0.0000 0.0000  6 O 2.94-2.96
Rb 0.5000 0.5000 0.0000  6 O 2.95-2.96
W 0.0000 0.0000 0.5000  6 O 2.12-2.16

***

[2]
Compound: RbSmW2O8
Source: the Alexandria database
Functional: PBE+U
Structure: relaxed

Results
- spin magnetization (μB/cell) = 0.000
- electronic total energy (eV per cell) = -88.0
- space group = P-3, No. 147
- DOS at the Fermi energy (states/eV per atom) = 0.000
- polymorph energy (0 for the lowest one) (kJ/mol of atoms) = 5.6

Cell: 6.1609 6.1609 7.9801 Å, 90.00 90.00 120.00°
Closest atoms and distances in Å follow each position.
Fractional coordinates of all 12 atoms:
O 0.8277 0.1697 0.3198  1 W 1.83
O 0.3420 0.1723 0.3198  1 W 1.83
O 0.8303 0.6580 0.3198  1 W 1.83
O 0.1697 0.3420 0.6802  1 W 1.83
O 0.6580 0.8277 0.6802  1 W 1.83
O 0.3333 0.6667 0.9764  1 W 1.78
O 0.1723 0.8303 0.6802  1 W 1.83
O 0.6667 0.3333 0.0236  1 W 1.78
Sm 0.0000 0.0000 0.5000  6 O 2.32
W 0.3333 0.6667 0.7538  4 O 1.78-1.83
W 0.6667 0.3333 0.2462  4 O 1.78-1.83
Rb 0.0000 0.0000 0.0000  6 O 3.14

***

[3]
Compound: RbSmW2O8
Source: the Alexandria database
Functional: PBE+U
Structure: relaxed

Results
- spin magnetization (μB/cell) = 0.000
- electronic total energy (eV per cell) = -177.5
- space group = C2/c, No. 15
- DOS at the Fermi energy (states/eV per atom) = 0.000
- polymorph energy (0 for the lowest one) (kJ/mol of atoms) = 0.0

Cell: 7.7471 7.7471 7.5460 Å, 62.56 62.56 89.03°
Closest atoms and distances in Å follow each position.
Fractional coordinates of all 24 atoms:
W 0.6888 0.6987 0.2836  4 O 1.83-2.02
W 0.6987 0.6888 0.7836  4 O 1.83-2.02
W 0.3112 0.3013 0.7164  4 O 1.83-2.02
W 0.3013 0.3112 0.2164  4 O 1.83-2.02
O 0.3736 0.5903 0.4684  2 W 2.02-2.11
O 0.9378 0.6307 0.6300  1 W 1.86
O 0.0481 0.2255 0.8060  1 W 1.83
O 0.2517 0.3748 0.9402  1 W 1.88
O 0.3748 0.2517 0.4402  1 W 1.88
O 0.2255 0.0481 0.3060  1 W 1.83
O 0.6307 0.9378 0.1300  1 W 1.86
O 0.5903 0.3736 0.9684  2 W 2.02-2.11
O 0.9519 0.7745 0.1940  1 W 1.83
O 0.3693 0.0622 0.8700  1 W 1.86
O 0.4097 0.6264 0.0316  2 W 2.02-2.11
O 0.6252 0.7483 0.5598  1 W 1.88
O 0.7483 0.6252 0.0598  1 W 1.88
O 0.0622 0.3693 0.3700  1 W 1.86
O 0.7745 0.9519 0.6940  1 W 1.83
O 0.6264 0.4097 0.5316  2 W 2.02-2.11
Rb 0.2051 0.7949 0.7500  10 O 2.93-3.10
Rb 0.7949 0.2051 0.2500  10 O 2.93-3.10
Sm 0.7754 0.2246 0.7500  6 O 2.34-2.38
Sm 0.2246 0.7754 0.2500  6 O 2.34-2.38